! Ac3Pr2Rh4 | the Alexandria database | PBE | relaxed; values from VASP
&SYSTEM
  ibrav = 0, nat = 9, ntyp = 3
/
ATOMIC_SPECIES
Ac 227.00 Ac.upf
Pr 140.91 Pr.upf
Rh 102.91 Rh.upf
CELL_PARAMETERS angstrom
6.3860 -2.1480 0.0000
6.3860 2.1480 0.0000
-2.4435 0.0000 9.3143
ATOMIC_POSITIONS crystal
Ac 0.0000 0.0000 0.0000
Ac 0.3850 0.3850 0.6011
Ac 0.6150 0.6150 0.3989
Pr 0.3131 0.3131 0.1807
Pr 0.6869 0.6869 0.8193
Rh 0.1051 0.1051 0.6055
Rh 0.3426 0.3426 0.8846
Rh 0.6574 0.6574 0.1154
Rh 0.8949 0.8949 0.3945
! Total DFT energy (no corrections): -6.2906 eV/atom
! ΔH_f (0 K): -592 meV per atom